(1)
Crystalline CsAl2I8 at its relaxed geometry. Source: Alexandria via LeMat-Bulk, functional PBE.

## Properties
Excess energy over the best structure of this formula in the dataset = 0.0000 eV per atom
Density = 2.87 g/cm³
DFT total energy = -2.63 eV per atom

```
data_CsAl2I8
_chemical_formula_sum 'Cs2 Al4 I16'
_cell_length_a 17.665
_cell_length_b 10.343
_cell_length_c 8.124
_cell_angle_alpha 90.00
_cell_angle_beta 110.48
_cell_angle_gamma 90.00
_symmetry_space_group_name_H-M 'C 1 2/m 1'
_symmetry_Int_Tables_number 12
_symmetry_space_group_name_Hall '-C 2y'
loop_
_atom_site_label
_atom_site_fract_x
_atom_site_fract_y
_atom_site_fract_z
_atom_site_occupancy
Cs1 0.000 0.000 0.000 1
Al1 0.182 0.000 0.684 1
I1 0.100 0.202 0.708 1
I2 0.190 0.500 0.044 1
I3 0.210 0.000 0.399 1
```



(2)
Crystalline Cs2AlI7 at its relaxed geometry. Source: Alexandria via LeMat-Bulk, functional PBE.

## Properties
Density = 4.10 g/cm³
DFT total energy = -2.39 eV per atom

```
data_Cs2AlI7
_chemical_formula_sum 'Cs4 Al2 I14'
_cell_length_a 8.586
_cell_length_b 8.586
_cell_length_c 12.988
_cell_angle_alpha 90.00
_cell_angle_beta 90.00
_cell_angle_gamma 90.00
_symmetry_space_group_name_H-M 'I 4/m m m'
_symmetry_Int_Tables_number 139
_symmetry_space_group_name_Hall '-I 4 2'
loop_
_atom_site_label
_atom_site_fract_x
_atom_site_fract_y
_atom_site_fract_z
_atom_site_occupancy
Cs1 0.000 0.500 0.250 1
Al1 0.000 0.000 0.000 1
I1 0.000 0.000 0.212 1
I2 0.000 0.000 0.500 1
I3 0.232 0.232 0.000 1
```



(3)
Crystalline Cs3AlI6 at its relaxed geometry. Source: Alexandria via LeMat-Bulk, functional PBE.

## Properties
Excess energy over the best structure of this formula in the dataset = 0.0000 eV per atom
Density = 3.07 g/cm³
DFT total energy = -2.75 eV per atom

```
data_Cs3AlI6
_chemical_formula_sum 'Cs12 Al4 I24'
_cell_length_a 15.524
_cell_length_b 18.023
_cell_length_c 9.170
_cell_angle_alpha 90.00
_cell_angle_beta 90.00
_cell_angle_gamma 90.00
_symmetry_space_group_name_H-M 'C m c 21'
_symmetry_Int_Tables_number 36
_symmetry_space_group_name_Hall 'C 2c -2'
loop_
_atom_site_label
_atom_site_fract_x
_atom_site_fract_y
_atom_site_fract_z
_atom_site_occupancy
Cs1 0.000 0.072 0.000 1
Cs2 0.197 0.402 0.099 1
Al1 0.000 0.313 0.690 1
I1 0.000 0.315 0.412 1
I2 0.000 0.447 0.793 1
I3 0.134 0.246 0.792 1
I4 0.169 0.039 0.291 1
```



(4)
Crystalline Cs3AlI6 at its relaxed geometry. Source: Alexandria via LeMat-Bulk, functional PBE.

## Properties
Excess energy over the best structure of this formula in the dataset = 0.0473 eV per atom
Density = 3.51 g/cm³
DFT total energy = -2.71 eV per atom

```
data_Cs3AlI6
_chemical_formula_sum 'Cs18 Al6 I36'
_cell_length_a 14.7020
_cell_length_b 14.7020
_cell_length_c 17.9954
_cell_angle_alpha 90.00
_cell_angle_beta 90.00
_cell_angle_gamma 120.00
_symmetry_space_group_name_H-M 'R -3'
_symmetry_Int_Tables_number 148
_symmetry_space_group_name_Hall '-R 3'
loop_
_atom_site_label
_atom_site_fract_x
_atom_site_fract_y
_atom_site_fract_z
_atom_site_occupancy
Cs1 0.0499 0.7784 0.2086 1
Al1 0.0000 0.0000 0.0000 1
Al2 0.0000 0.0000 0.5000 1
I1 0.0052 0.8465 0.4097 1
I2 0.0320 0.8621 0.9103 1
```



(5)
Crystalline Cs5AlI8 at its relaxed geometry. Source: Alexandria via LeMat-Bulk, functional PBE.

## Properties
Density = 3.17 g/cm³
DFT total energy = -2.71 eV per atom

```
data_Cs5AlI8
_chemical_formula_sum 'Cs10 Al2 I16'
_cell_length_a 11.283
_cell_length_b 11.283
_cell_length_c 14.026
_cell_angle_alpha 90.00
_cell_angle_beta 90.00
_cell_angle_gamma 90.00
_symmetry_space_group_name_H-M 'I -4'
_symmetry_Int_Tables_number 82
_symmetry_space_group_name_Hall 'I -4'
loop_
_atom_site_label
_atom_site_fract_x
_atom_site_fract_y
_atom_site_fract_z
_atom_site_occupancy
Cs1 0.000 0.000 0.000 1
Cs2 0.128 0.299 0.614 1
Al1 0.000 0.500 0.250 1
I1 0.006 0.308 0.348 1
I2 0.120 0.286 0.890 1
```



(6)
Crystalline CsAlI2 at its relaxed geometry. Source: Alexandria via LeMat-Bulk, functional PBE.

## Properties
Excess energy over the best structure of this formula in the dataset = 0.0297 eV per atom
Density = 4.10 g/cm³
DFT total energy = -2.54 eV per atom

```
data_CsAlI2
_chemical_formula_sum 'Cs4 Al4 I8'
_cell_length_a 8.753
_cell_length_b 8.753
_cell_length_c 8.753
_cell_angle_alpha 90.00
_cell_angle_beta 90.00
_cell_angle_gamma 90.00
_symmetry_space_group_name_H-M 'F m -3 m'
_symmetry_Int_Tables_number 225
_symmetry_space_group_name_Hall '-F 4 2 3'
loop_
_atom_site_label
_atom_site_fract_x
_atom_site_fract_y
_atom_site_fract_z
_atom_site_occupancy
Cs1 0.000 0.000 0.000 1
Al1 0.000 0.000 0.500 1
I1 0.250 0.250 0.250 1
```



(7)
Crystalline Cs3AlI6 at its relaxed geometry. Source: Alexandria via LeMat-Bulk, functional PBE.

## Properties
Excess energy over the best structure of this formula in the dataset = 0.0648 eV per atom
Density = 3.77 g/cm³
DFT total energy = -2.69 eV per atom

```
data_Cs3AlI6
_chemical_formula_sum 'Cs12 Al4 I24'
_cell_length_a 12.793
_cell_length_b 12.793
_cell_length_c 12.793
_cell_angle_alpha 90.00
_cell_angle_beta 90.00
_cell_angle_gamma 90.00
_symmetry_space_group_name_H-M 'F m -3 m'
_symmetry_Int_Tables_number 225
_symmetry_space_group_name_Hall '-F 4 2 3'
loop_
_atom_site_label
_atom_site_fract_x
_atom_site_fract_y
_atom_site_fract_z
_atom_site_occupancy
Cs1 0.000 0.000 0.000 1
Cs2 0.250 0.250 0.250 1
Al1 0.000 0.000 0.500 1
I1 0.000 0.000 0.283 1
```



(8)
Crystalline Cs2Al2I7 at its relaxed geometry. Source: Alexandria via LeMat-Bulk, functional PBE.

## Properties
Density = 3.25 g/cm³
DFT total energy = -2.72 eV per atom

```
data_Cs2Al2I7
_chemical_formula_sum 'Cs4 Al4 I14'
_cell_length_a 7.270
_cell_length_b 18.138
_cell_length_c 9.584
_cell_angle_alpha 90.00
_cell_angle_beta 102.38
_cell_angle_gamma 90.00
_symmetry_space_group_name_H-M 'P 1 21/c 1'
_symmetry_Int_Tables_number 14
_symmetry_space_group_name_Hall '-P 2ybc'
loop_
_atom_site_label
_atom_site_fract_x
_atom_site_fract_y
_atom_site_fract_z
_atom_site_occupancy
Cs1 0.143 0.152 0.461 1
Al1 0.312 0.606 0.626 1
I1 0.011 0.143 0.036 1
I2 0.250 0.557 0.871 1
I3 0.498 0.729 0.701 1
I4 0.500 0.000 0.000 1
```



(9)
Crystalline CsAlI4 at its relaxed geometry. Source: Alexandria via LeMat-Bulk, functional PBE.

## Properties
Density = 3.54 g/cm³
DFT total energy = -2.83 eV per atom

```
data_CsAlI4
_chemical_formula_sum 'Cs2 Al2 I8'
_cell_length_a 9.377
_cell_length_b 9.377
_cell_length_c 7.122
_cell_angle_alpha 90.00
_cell_angle_beta 90.00
_cell_angle_gamma 90.00
_symmetry_space_group_name_H-M 'I -4'
_symmetry_Int_Tables_number 82
_symmetry_space_group_name_Hall 'I -4'
loop_
_atom_site_label
_atom_site_fract_x
_atom_site_fract_y
_atom_site_fract_z
_atom_site_occupancy
Cs1 0.000 0.000 0.000 1
Al1 0.000 0.500 0.750 1
I1 0.117 0.694 0.548 1
```



(10)
Crystalline CsAl2I8 at its relaxed geometry. Source: Alexandria via LeMat-Bulk, functional PBE.

## Properties
Excess energy over the best structure of this formula in the dataset = 0.0101 eV per atom
Density = 3.35 g/cm³
DFT total energy = -2.62 eV per atom

```
data_CsAl2I8
_chemical_formula_sum 'Cs2 Al4 I16'
_cell_length_a 14.907
_cell_length_b 8.500
_cell_length_c 9.952
_cell_angle_alpha 90.00
_cell_angle_beta 109.20
_cell_angle_gamma 90.00
_symmetry_space_group_name_H-M 'C 1 2/m 1'
_symmetry_Int_Tables_number 12
_symmetry_space_group_name_Hall '-C 2y'
loop_
_atom_site_label
_atom_site_fract_x
_atom_site_fract_y
_atom_site_fract_z
_atom_site_occupancy
Cs1 0.000 0.000 0.000 1
Al1 0.220 0.000 0.707 1
I1 0.099 0.500 0.210 1
I2 0.147 0.000 0.438 1
I3 0.160 0.246 0.804 1
```



(11)
Crystalline CsAl2InI8 at its relaxed geometry. Source: Alexandria via LeMat-Bulk, functional PBE.

## Properties
Density = 3.74 g/cm³
DFT total energy = -2.78 eV per atom

```
data_CsAl2InI8
_chemical_formula_sum 'Cs3 Al6 In3 I24'
_cell_length_a 7.7566
_cell_length_b 7.7566
_cell_length_c 33.6639
_cell_angle_alpha 90.00
_cell_angle_beta 90.00
_cell_angle_gamma 120.00
_symmetry_space_group_name_H-M 'R -3'
_symmetry_Int_Tables_number 148
_symmetry_space_group_name_Hall '-R 3'
loop_
_atom_site_label
_atom_site_fract_x
_atom_site_fract_y
_atom_site_fract_z
_atom_site_occupancy
Cs1 0.0000 0.0000 0.0000 1
Al1 0.0000 0.0000 0.2544 1
In1 0.0000 0.0000 0.5000 1
I1 0.0000 0.0000 0.3303 1
I2 0.0027 0.6298 0.4373 1
```



(12)
Crystalline CsAlInI2 at its relaxed geometry. Source: Alexandria via LeMat-Bulk, functional PBE.

## Properties
Density = 4.13 g/cm³
DFT total energy = -2.56 eV per atom

```
data_CsAlInI2
_chemical_formula_sum 'Cs1 Al1 In1 I2'
_cell_length_a 6.245
_cell_length_b 6.245
_cell_length_c 5.449
_cell_angle_alpha 90.00
_cell_angle_beta 90.00
_cell_angle_gamma 90.00
_symmetry_space_group_name_H-M 'P 4/m m m'
_symmetry_Int_Tables_number 123
_symmetry_space_group_name_Hall '-P 4 2'
loop_
_atom_site_label
_atom_site_fract_x
_atom_site_fract_y
_atom_site_fract_z
_atom_site_occupancy
Cs1 0.000 0.000 0.000 1
Al1 0.500 0.500 0.500 1
In1 0.500 0.500 0.000 1
I1 0.000 0.500 0.500 1
```



(13)
Crystalline CsKAl2I8 at its relaxed geometry. Source: Alexandria via LeMat-Bulk, functional PBE.

## Properties
Density = 3.46 g/cm³
DFT total energy = -2.82 eV per atom

```
data_CsKAl2I8
_chemical_formula_sum 'Cs3 K3 Al6 I24'
_cell_length_a 7.8166
_cell_length_b 7.8166
_cell_length_c 33.7436
_cell_angle_alpha 90.00
_cell_angle_beta 90.00
_cell_angle_gamma 120.00
_symmetry_space_group_name_H-M 'R -3'
_symmetry_Int_Tables_number 148
_symmetry_space_group_name_Hall '-R 3'
loop_
_atom_site_label
_atom_site_fract_x
_atom_site_fract_y
_atom_site_fract_z
_atom_site_occupancy
Cs1 0.0000 0.0000 0.0000 1
K1 0.0000 0.0000 0.5000 1
Al1 0.0000 0.0000 0.2551 1
I1 0.0000 0.0000 0.3309 1
I2 0.0019 0.3803 0.4362 1
```



(14)
Crystalline CsK2AlI6 at its relaxed geometry. Source: Alexandria via LeMat-Bulk, functional PBE.

## Properties
Density = 3.26 g/cm³
DFT total energy = -2.63 eV per atom

```
data_CsK2AlI6
_chemical_formula_sum 'Cs4 K8 Al4 I24'
_cell_length_a 12.678
_cell_length_b 12.678
_cell_length_c 12.678
_cell_angle_alpha 90.00
_cell_angle_beta 90.00
_cell_angle_gamma 90.00
_symmetry_space_group_name_H-M 'F m -3 m'
_symmetry_Int_Tables_number 225
_symmetry_space_group_name_Hall '-F 4 2 3'
loop_
_atom_site_label
_atom_site_fract_x
_atom_site_fract_y
_atom_site_fract_z
_atom_site_occupancy
Cs1 0.000 0.000 0.000 1
K1 0.250 0.250 0.250 1
Al1 0.000 0.000 0.500 1
I1 0.000 0.000 0.281 1
```



(15)
Crystalline CsLiAl2I8 at its relaxed geometry. Source: Alexandria via LeMat-Bulk, functional PBE.

## Properties
Density = 3.81 g/cm³
DFT total energy = -2.82 eV per atom

```
data_CsLiAl2I8
_chemical_formula_sum 'Cs1 Li1 Al2 I8'
_cell_length_a 7.4958
_cell_length_b 7.4958
_cell_length_c 10.8258
_cell_angle_alpha 90.00
_cell_angle_beta 90.00
_cell_angle_gamma 120.00
_symmetry_space_group_name_H-M 'P -3'
_symmetry_Int_Tables_number 147
_symmetry_space_group_name_Hall '-P 3'
loop_
_atom_site_label
_atom_site_fract_x
_atom_site_fract_y
_atom_site_fract_z
_atom_site_occupancy
Cs1 0.0000 0.0000 0.0000 1
Li1 0.0000 0.0000 0.5000 1
Al1 0.3333 0.6667 0.7412 1
I1 0.0126 0.3320 0.6708 1
I2 0.3333 0.6667 0.9786 1
```



(16)
Crystalline Cs2LiAlI6 at its relaxed geometry. Source: Alexandria via LeMat-Bulk, functional PBE.

## Properties
Excess energy over the best structure of this formula in the dataset = 0.0000 eV per atom
Density = 4.13 g/cm³
DFT total energy = -2.79 eV per atom

```
data_Cs2LiAlI6
_chemical_formula_sum 'Cs2 Li1 Al1 I6'
_cell_length_a 8.3129
_cell_length_b 8.3129
_cell_length_c 7.1231
_cell_angle_alpha 90.00
_cell_angle_beta 90.00
_cell_angle_gamma 120.00
_symmetry_space_group_name_H-M 'P -3 m 1'
_symmetry_Int_Tables_number 164
_symmetry_space_group_name_Hall '-P 3 2"'
loop_
_atom_site_label
_atom_site_fract_x
_atom_site_fract_y
_atom_site_fract_z
_atom_site_occupancy
Cs1 0.3333 0.6667 0.2214 1
Li1 0.0000 0.0000 0.5000 1
Al1 0.0000 0.0000 0.0000 1
I1 0.1574 0.3149 0.7701 1
```



(17)
Crystalline Cs2LiAlI6 at its relaxed geometry. Source: Alexandria via LeMat-Bulk, functional PBE.

## Properties
Excess energy over the best structure of this formula in the dataset = 0.0454 eV per atom
Density = 4.36 g/cm³
DFT total energy = -2.74 eV per atom

```
data_Cs2LiAlI6
_chemical_formula_sum 'Cs4 Li2 Al2 I12'
_cell_length_a 8.292
_cell_length_b 8.292
_cell_length_c 11.751
_cell_angle_alpha 90.00
_cell_angle_beta 90.00
_cell_angle_gamma 90.00
_symmetry_space_group_name_H-M 'I 4/m m m'
_symmetry_Int_Tables_number 139
_symmetry_space_group_name_Hall '-I 4 2'
loop_
_atom_site_label
_atom_site_fract_x
_atom_site_fract_y
_atom_site_fract_z
_atom_site_occupancy
Cs1 0.000 0.500 0.250 1
Li1 0.000 0.000 0.000 1
Al1 0.000 0.000 0.500 1
I1 0.000 0.000 0.262 1
I2 0.239 0.239 0.500 1
```



(18)
Crystalline CsMgAl2I8 at its relaxed geometry. Source: Alexandria via LeMat-Bulk, functional PBE.

## Properties
Density = 3.66 g/cm³
DFT total energy = -2.63 eV per atom

```
data_CsMgAl2I8
_chemical_formula_sum 'Cs3 Mg3 Al6 I24'
_cell_length_a 7.6093
_cell_length_b 7.6093
_cell_length_c 33.2915
_cell_angle_alpha 90.00
_cell_angle_beta 90.00
_cell_angle_gamma 120.00
_symmetry_space_group_name_H-M 'R -3'
_symmetry_Int_Tables_number 148
_symmetry_space_group_name_Hall '-R 3'
loop_
_atom_site_label
_atom_site_fract_x
_atom_site_fract_y
_atom_site_fract_z
_atom_site_occupancy
Cs1 0.0000 0.0000 0.0000 1
Mg1 0.0000 0.0000 0.5000 1
Al1 0.0000 0.0000 0.2505 1
I1 0.0000 0.0000 0.3275 1
I2 0.0057 0.3242 0.7746 1
```



(19)
Crystalline Cs2MnAlI6 at its relaxed geometry. Source: Alexandria via LeMat-Bulk, functional PBE.

## Properties
Density = 4.58 g/cm³
DFT total energy = -3.24 eV per atom

```
data_Cs2MnAlI6
_chemical_formula_sum 'Cs8 Mn4 Al4 I24'
_cell_length_a 11.720
_cell_length_b 11.720
_cell_length_c 11.720
_cell_angle_alpha 90.00
_cell_angle_beta 90.00
_cell_angle_gamma 90.00
_symmetry_space_group_name_H-M 'F m -3 m'
_symmetry_Int_Tables_number 225
_symmetry_space_group_name_Hall '-F 4 2 3'
loop_
_atom_site_label
_atom_site_fract_x
_atom_site_fract_y
_atom_site_fract_z
_atom_site_occupancy
Cs1 0.250 0.250 0.250 1
Mn1 0.000 0.000 0.000 1
Al1 0.000 0.000 0.500 1
I1 0.000 0.000 0.249 1
```



(20)
Crystalline Cs2AlMoI6 at its relaxed geometry. Source: Alexandria via LeMat-Bulk, functional PBE.

## Properties
Density = 4.49 g/cm³
DFT total energy = -3.25 eV per atom

```
data_Cs2AlMoI6
_chemical_formula_sum 'Cs8 Al4 Mo4 I24'
_cell_length_a 11.936
_cell_length_b 11.936
_cell_length_c 11.936
_cell_angle_alpha 90.00
_cell_angle_beta 90.00
_cell_angle_gamma 90.00
_symmetry_space_group_name_H-M 'F m -3 m'
_symmetry_Int_Tables_number 225
_symmetry_space_group_name_Hall '-F 4 2 3'
loop_
_atom_site_label
_atom_site_fract_x
_atom_site_fract_y
_atom_site_fract_z
_atom_site_occupancy
Cs1 0.250 0.250 0.250 1
Al1 0.000 0.000 0.000 1
Mo1 0.000 0.000 0.500 1
I1 0.000 0.000 0.261 1
```